Record 1
Computed, not measured: a relaxed TbDySc2Se6 crystal at the PBE-GGA level of DFT. Values from VASP.

* density of states at the Fermi level: 0.0 states/eV/f.u.
* energy relative to the elements, uncorrected: -168.99 kJ per mole of atoms
* SG: R3, No. 146
* calculated total energy: -60.32 eV per cell

Quantum ESPRESSO input file:
```
&SYSTEM
  ibrav = 0, nat = 10, ntyp = 4
/
ATOMIC_SPECIES
Tb 158.93 Tb.upf
Dy 162.50 Dy.upf
Sc 44.96 Sc.upf
Se 78.96 Se.upf
CELL_PARAMETERS angstrom
7.0121 0.0000 0.0001
3.5060 6.0727 -0.0001
3.5057 2.0243 6.2859
ATOMIC_POSITIONS crystal
Tb 0.3150 0.3150 0.0550
Dy 0.8156 0.8156 0.5531
Sc 0.5097 0.5096 0.4710
Sc 0.0099 0.0100 0.9701
Se 0.6273 0.2388 0.2445
Se 0.2388 0.8894 0.2445
Se 0.8894 0.6273 0.2445
Se 0.3914 0.7392 0.7441
Se 0.7392 0.1253 0.7441
Se 0.1253 0.3914 0.7441
```

Record 2
Computed, not measured: a relaxed Tb2DySc3Se6 crystal at the PBE-GGA level of DFT. Values from VASP.

* density of states at the Fermi level: 6.3 states/eV/f.u.
* energy relative to the elements, uncorrected: -161.54 kJ per mole of atoms
* SG: C2/m, No. 12
* calculated total energy: -73.85 eV per cell

Quantum ESPRESSO input file:
```
&SYSTEM
  ibrav = 0, nat = 12, ntyp = 4
/
ATOMIC_SPECIES
Tb 158.93 Tb.upf
Dy 162.50 Dy.upf
Sc 44.96 Sc.upf
Se 78.96 Se.upf
CELL_PARAMETERS angstrom
6.8895 -0.0161 -0.0014
-3.4570 5.9594 -0.0014
-1.1464 -1.9850 6.5373
ATOMIC_POSITIONS crystal
Tb 0.3331 0.6669 0.0000
Tb 0.6669 0.3331 0.0000
Dy 0.0000 0.0000 0.0000
Sc 0.1681 0.8319 0.5000
Sc 0.8319 0.1681 0.5000
Sc 0.5000 0.5000 0.5000
Se 0.9111 0.5793 0.7336
Se 0.7571 0.7571 0.2671
Se 0.0889 0.4207 0.2664
Se 0.5793 0.9111 0.7336
Se 0.2429 0.2429 0.7329
Se 0.4207 0.0889 0.2664
```

Record 3
Computed, not measured: a relaxed Tb3DySc3Se8 crystal at the PBE-GGA level of DFT. Values from VASP.

* density of states at the Fermi level: 7.0 states/eV/f.u.
* energy relative to the elements, uncorrected: -170.17 kJ per mole of atoms
* SG: R-3m, No. 166
* calculated total energy: -91.82 eV per cell

Quantum ESPRESSO input file:
```
&SYSTEM
  ibrav = 0, nat = 15, ntyp = 4
/
ATOMIC_SPECIES
Tb 158.93 Tb.upf
Dy 162.50 Dy.upf
Sc 44.96 Sc.upf
Se 78.96 Se.upf
CELL_PARAMETERS angstrom
7.9290 0.0002 -0.0004
-3.9644 6.8673 -0.0235
-0.0004 -4.5550 6.5589
ATOMIC_POSITIONS crystal
Tb 0.0000 0.0000 0.0000
Tb 0.0000 0.5000 0.0000
Tb 0.5000 0.5000 0.0000
Dy 0.0000 0.0000 0.5000
Sc 0.5000 0.0000 0.5000
Sc 0.5000 0.5000 0.5000
Sc 0.0000 0.5000 0.5000
Se 0.2556 0.5111 0.2667
Se 0.7444 0.4889 0.7333
Se 0.7436 0.4872 0.2546
Se 0.2564 0.5128 0.7454
Se 0.7436 0.0110 0.2546
Se 0.2564 0.9890 0.7454
Se 0.2674 0.0110 0.2546
Se 0.7326 0.9890 0.7454
```

Record 4
Computed, not measured: a relaxed Tb3Dy4ScSe8 crystal at the PBE-GGA level of DFT. Values from VASP.

* density of states at the Fermi level: 11.0 states/eV/f.u.
* energy relative to the elements, uncorrected: -166.55 kJ per mole of atoms
* SG: R-3m, No. 166
* calculated total energy: -94.13 eV per cell

Quantum ESPRESSO input file:
```
&SYSTEM
  ibrav = 0, nat = 16, ntyp = 4
/
ATOMIC_SPECIES
Tb 158.93 Tb.upf
Dy 162.50 Dy.upf
Sc 44.96 Sc.upf
Se 78.96 Se.upf
CELL_PARAMETERS angstrom
-3.0256 4.0228 -6.3800
2.2365 -6.0826 -4.8959
-4.6981 -1.4987 6.4587
ATOMIC_POSITIONS crystal
Tb 0.5000 0.5000 0.0000
Tb 0.5000 0.5000 0.5000
Tb 0.0000 0.5000 0.5000
Dy 0.5000 0.0000 0.0000
Dy 0.5000 0.0000 0.5000
Dy 0.0000 0.0000 0.0000
Dy 0.0000 0.0000 0.5000
Sc 0.0000 0.5000 0.0000
Se 0.2450 0.7464 0.0013
Se 0.2450 0.7464 0.4900
Se 0.2493 0.2480 0.4986
Se 0.7563 0.7464 0.0013
Se 0.2437 0.2536 0.9987
Se 0.7507 0.7520 0.5014
Se 0.7550 0.2536 0.5100
Se 0.7550 0.2536 0.9987
```

Record 5
Computed, not measured: a relaxed TbDySc2Se4 crystal at the PBE-GGA level of DFT. Values from VASP.

* density of states at the Fermi level: 5.2 states/eV/f.u.
* energy relative to the elements, uncorrected: -161.07 kJ per mole of atoms
* SG: P2/m, No. 10
* calculated total energy: -49.19 eV per cell

Quantum ESPRESSO input file:
```
&SYSTEM
  ibrav = 0, nat = 8, ntyp = 4
/
ATOMIC_SPECIES
Tb 158.93 Tb.upf
Dy 162.50 Dy.upf
Sc 44.96 Sc.upf
Se 78.96 Se.upf
CELL_PARAMETERS angstrom
3.9496 0.0000 0.0000
0.0000 6.9335 -0.1676
0.0000 2.4112 6.4609
ATOMIC_POSITIONS crystal
Tb 0.5000 0.5000 0.0000
Dy 0.0000 0.5000 0.5000
Sc 0.0000 0.0000 0.0000
Sc 0.5000 0.0000 0.5000
Se 0.0000 0.7667 0.7435
Se 0.0000 0.2333 0.2565
Se 0.5000 0.7660 0.2455
Se 0.5000 0.2340 0.7545
```

Record 6
Computed, not measured: a relaxed TbDy4ScSe8 crystal at the PBE-GGA level of DFT. Values from VASP.

* density of states at the Fermi level: 7.0 states/eV/f.u.
* energy relative to the elements, uncorrected: -164.70 kJ per mole of atoms
* SG: R3m, No. 160
* calculated total energy: -81.14 eV per cell

Quantum ESPRESSO input file:
```
&SYSTEM
  ibrav = 0, nat = 14, ntyp = 4
/
ATOMIC_SPECIES
Tb 158.93 Tb.upf
Dy 162.50 Dy.upf
Sc 44.96 Sc.upf
Se 78.96 Se.upf
CELL_PARAMETERS angstrom
-2.4133 -1.4182 7.8662
2.4732 -6.9334 3.9398
5.5521 0.4892 6.2227
ATOMIC_POSITIONS crystal
Tb 0.0038 0.0038 0.9887
Dy 0.6251 0.6251 0.1248
Dy 0.0036 0.4890 0.5038
Dy 0.4890 0.0036 0.5038
Dy 0.0036 0.0036 0.5038
Sc 0.3748 0.3748 0.8756
Se 0.2483 0.7572 0.7461
Se 0.7572 0.2483 0.7461
Se 0.2483 0.2483 0.7461
Se 0.2472 0.2472 0.2583
Se 0.7579 0.2246 0.2596
Se 0.2246 0.7579 0.2596
Se 0.7579 0.7579 0.2596
Se 0.7586 0.7586 0.7241
```

Record 7
Computed, not measured: a relaxed DyScTeSe crystal at the PBE-GGA level of DFT. Values from VASP.

* density of states at the Fermi level: 0.3 states/eV/f.u.
* energy relative to the elements, uncorrected: -140.39 kJ per mole of atoms
* SG: R3m, No. 160
* calculated total energy: -23.38 eV per cell

Quantum ESPRESSO input file:
```
&SYSTEM
  ibrav = 0, nat = 4, ntyp = 4
/
ATOMIC_SPECIES
Dy 162.50 Dy.upf
Sc 44.96 Sc.upf
Te 127.60 Te.upf
Se 78.96 Se.upf
CELL_PARAMETERS angstrom
3.9919 -0.0016 0.0001
-1.9964 3.4592 0.0002
-1.9942 -1.1514 7.1552
ATOMIC_POSITIONS crystal
Dy 0.1156 0.9558 0.0863
Sc 0.4904 0.1432 0.6491
Te 0.9751 0.3855 0.3757
Se 0.2968 0.5464 0.8585
```

Record 8
Computed, not measured: a relaxed DyTh2ScSe4 crystal at the PBE-GGA level of DFT. Values from VASP.

* density of states at the Fermi level: 6.2 states/eV/f.u.
* energy relative to the elements, uncorrected: -153.15 kJ per mole of atoms
* SG: P2/m, No. 10
* calculated total energy: -52.41 eV per cell

Quantum ESPRESSO input file:
```
&SYSTEM
  ibrav = 0, nat = 8, ntyp = 4
/
ATOMIC_SPECIES
Dy 162.50 Dy.upf
Th 232.04 Th.upf
Sc 44.96 Sc.upf
Se 78.96 Se.upf
CELL_PARAMETERS angstrom
3.9835 0.0000 0.0000
0.0000 7.4765 -0.3557
0.0000 2.4261 6.4005
ATOMIC_POSITIONS crystal
Dy 0.0000 0.5000 0.5000
Th 0.0000 0.0000 0.0000
Th 0.5000 0.0000 0.5000
Sc 0.5000 0.5000 0.0000
Se 0.0000 0.7235 0.7663
Se 0.0000 0.2765 0.2337
Se 0.5000 0.7279 0.2493
Se 0.5000 0.2721 0.7507
```

Record 9
Computed, not measured: a relaxed Dy2Th3ScSe6 crystal at the PBE-GGA level of DFT. Values from VASP.

* density of states at the Fermi level: 8.5 states/eV/f.u.
* energy relative to the elements, uncorrected: -154.65 kJ per mole of atoms
* SG: C2/m, No. 12
* calculated total energy: -77.94 eV per cell

Quantum ESPRESSO input file:
```
&SYSTEM
  ibrav = 0, nat = 12, ntyp = 4
/
ATOMIC_SPECIES
Dy 162.50 Dy.upf
Th 232.04 Th.upf
Sc 44.96 Sc.upf
Se 78.96 Se.upf
CELL_PARAMETERS angstrom
-1.7375 3.6066 -0.0123
-3.2480 -1.5386 7.6545
9.1068 2.1688 0.9834
ATOMIC_POSITIONS crystal
Dy 0.8345 0.6691 0.6690
Dy 0.1655 0.3309 0.3310
Th 0.5000 0.5000 0.0000
Th 0.8320 0.1670 0.6640
Th 0.1680 0.8330 0.3360
Sc 0.5000 0.0000 0.0000
Se 0.3418 0.9121 0.6837
Se 0.6709 0.5727 0.3418
Se 0.6582 0.0879 0.3163
Se 0.0022 0.2297 0.0045
Se 0.9978 0.7703 0.9955
Se 0.3291 0.4273 0.6582
```

Record 10
Computed, not measured: a relaxed DyScTl2Se4 crystal at the PBE-GGA level of DFT. Values from VASP.

* energy relative to the elements, uncorrected: -126.84 kJ per mole of atoms
* SG: P2/m, No. 10
* calculated total energy: -40.12 eV per cell

Quantum ESPRESSO input file:
```
&SYSTEM
  ibrav = 0, nat = 8, ntyp = 4
/
ATOMIC_SPECIES
Dy 162.50 Dy.upf
Sc 44.96 Sc.upf
Tl 204.38 Tl.upf
Se 78.96 Se.upf
CELL_PARAMETERS angstrom
-3.9793 0.5269 0.7629
-1.4056 -6.2373 -3.0237
1.3170 -1.4391 7.8634
ATOMIC_POSITIONS crystal
Dy 0.5000 0.5000 0.0000
Sc 0.0000 0.0000 0.0000
Tl 0.5000 0.0000 0.5000
Tl 0.0000 0.5000 0.5000
Se 0.5000 0.2216 0.1967
Se 0.5000 0.7784 0.8033
Se 0.0000 0.2550 0.7982
Se 0.0000 0.7450 0.2018
```

Record 11
Computed, not measured: a relaxed Dy2ScTl3Se6 crystal at the PBE-GGA level of DFT. Values from VASP.

* energy relative to the elements, uncorrected: -129.26 kJ per mole of atoms
* SG: C2/m, No. 12
* calculated total energy: -59.62 eV per cell

Quantum ESPRESSO input file:
```
&SYSTEM
  ibrav = 0, nat = 12, ntyp = 4
/
ATOMIC_SPECIES
Dy 162.50 Dy.upf
Sc 44.96 Sc.upf
Tl 204.38 Tl.upf
Se 78.96 Se.upf
CELL_PARAMETERS angstrom
-1.6529 0.6863 6.9009
5.3895 -4.2319 -1.9671
3.6663 7.1645 -1.0618
ATOMIC_POSITIONS crystal
Dy 0.3336 0.6664 0.0000
Dy 0.6664 0.3336 0.0000
Sc 0.0000 0.0000 0.0000
Tl 0.1698 0.8302 0.5000
Tl 0.8302 0.1698 0.5000
Tl 0.5000 0.5000 0.5000
Se 0.9334 0.6124 0.8002
Se 0.7463 0.7463 0.2029
Se 0.0666 0.3876 0.1998
Se 0.6124 0.9334 0.8002
Se 0.2537 0.2537 0.7971
Se 0.3876 0.0666 0.1998
```